Below is an optimized crystal structure of YGeTeI2, with properties calculated at the GGA-PBE level.

a b c (Å): 5.5356 5.5356 5.7073
angles (deg): 90.00 90.00 90.00
Site moments in Bohr magnetons follow the coordinates.
Sites, in units of the cell vectors:
I  0.0000  0.5000  0.0000  -0.01
I  0.5000  0.0000  0.0000  -0.01
Y  0.5000  0.5000  0.5000  0.39
Ge  0.0000  0.0000  0.0000  0.03
Te  0.0000  0.0000  0.5000  -0.03

Symmetry: P4/mmm, No. 123
Energy relative to the elements, uncorrected (meV/atom): -38.6